# Cu2ReSe SCAN single point on PBEsol structure
# * SG: Cmm2 (35)
# * total DFT energy (no corrections): -29.765 eV/atom
# * formation energy from raw total energies: 0.6291 eV/atom
# * D(E_F): 1.87 states/eV/cell
data_Cu2ReSe
_chemical_formula_sum 'Cu2 Re1 Se1'
_cell_length_a 2.7079
_cell_length_b 2.7079
_cell_length_c 8.6528
_cell_angle_alpha 90.00
_cell_angle_beta 90.00
_cell_angle_gamma 116.50
_symmetry_space_group_name_H-M 'P 1'
_symmetry_Int_Tables_number 1
loop_
_symmetry_equiv_pos_as_xyz
'x,y,z'
loop_
_atom_site_label
_atom_site_type_symbol
_atom_site_fract_x
_atom_site_fract_y
_atom_site_fract_z
Cu1 Cu 0.0000 0.0000 0.9818
Cu2 Cu 0.5000 0.5000 0.7571
Re1 Re 0.0000 0.0000 0.5117
Se1 Se 0.5000 0.5000 0.2494